Compound: ZnSnSO
Source: OQMD
Functional: GGA-PBE
Structure: relaxed

Calculated values
E_tot: -4.49 eV per atom
Crystal system: orthorhombic
Distance to the lowest polymorph of the same formula: 0.0425 eV/atom

Lattice parameters (Å, degrees): 5.811 3.769 14.013 90.00 90.00 90.00
Space group Pnma (No. 62)
Asymmetric unit:
Zn 0.134 0.250 0.193 x4
Sn 0.236 0.750 0.414 x4
S 0.224 0.750 0.103 x4
O 0.222 0.750 0.820 x4